# 1
Compound: Cs3Hg2O4
Source: Alexandria via LeMat-Bulk
Functional: PBE
Structure: optimized geometry

Output
formation energy (no corrections): -0.72 eV per atom
energy: -3.274 eV/atom
space-group type: Immm
D(E_F): 9.89 states/eV per cell
V: 289.1 Å³/cell

abc: 8.680 8.680 8.680
angles: 147.71 123.10 66.96
Fractional coordinates of all 9 atoms:
Cs  0.000  0.000  0.000
Cs  0.282  0.782  0.500
Cs  0.718  0.218  0.500
Hg  0.303  0.500  0.803
Hg  0.697  0.500  0.197
O  0.143  0.364  0.779
O  0.415  0.636  0.779
O  0.585  0.364  0.221
O  0.857  0.636  0.221

# 2
Compound: ScTl3Tc
Source: Alexandria via LeMat-Bulk
Functional: PBE
Structure: optimized geometry

Output
energy: -4.100 eV/atom
energy of formation: 660 meV/atom
ΔE to the lowest computed polymorph: 0.000 eV/atom
space-group type: Pm-3m
D(E_F): 7.10 states/eV per cell
V: 146.6 Å³/cell

abc: 5.273 5.273 5.273
angles: 90.00 90.00 90.00
Fractional coordinates of all 5 atoms:
Sc  0.000  0.000  0.000
Tl  0.000  0.500  0.500
Tl  0.500  0.000  0.500
Tl  0.500  0.500  0.000
Tc  0.500  0.500  0.500

# 3
Compound: Dy2Ho2Tl3
Source: Alexandria via LeMat-Bulk
Functional: PBE
Structure: optimized geometry

Output
energy: -3.817 eV/atom
energy of formation: -180 meV/atom
ΔE to the lowest computed polymorph: 0.027 eV/atom
space-group type: C2/m
D(E_F): 8.76 states/eV per cell
V: 206.1 Å³/cell

abc: 6.954 6.954 8.822
angles: 111.19 111.19 31.42
Fractional coordinates of all 7 atoms:
Dy  0.113  0.113  0.446
Dy  0.887  0.887  0.554
Ho  0.378  0.378  0.184
Ho  0.622  0.622  0.816
Tl  0.000  0.000  0.000
Tl  0.305  0.305  0.783
Tl  0.695  0.695  0.217